No. 1
# CeTm4Th3

A relaxed structure of CeTm4Th3 (PBE-GGA, the Alexandria database).

Cell: 3.3463 5.8948 12.9455 Å, 94.67 97.43 90.00°
With the nearest neighbours (Å) after each atom.
Fractional positions:
Tm 0.7185 0.2320 0.4370  6 Tm 3.35-3.69, 3 Th 3.38-3.75
Tm 0.2815 0.7680 0.5630  6 Tm 3.35-3.69, 3 Th 3.38-3.75
Tm 0.1045 0.2112 0.2090  3 Th 3.15-3.29, 2 Ce 3.32, 4 Tm 3.35-3.36
Tm 0.8955 0.7888 0.7910  3 Th 3.15-3.29, 2 Ce 3.32, 4 Tm 3.35-3.36
Th 0.0000 0.5000 0.0000  2 Tm 3.29, 2 Th 3.35, 4 Ce 3.39
Th 0.1493 0.7242 0.2986  3 Tm 3.15-3.38, 2 Th 3.35
Th 0.8507 0.2758 0.7014  3 Tm 3.15-3.38, 2 Th 3.35
Ce 0.5000 0.0000 0.0000  4 Tm 3.32, 2 Ce 3.35, 4 Th 3.39

Electronic total energy: -5.46 eV/atom
Calculated formation energy: 0.297 eV/atom


No. 2
# CeTm8Th4

A relaxed structure of CeTm8Th4 (PBE-GGA, the Alexandria database).

Cell: 7.2686 7.2686 9.7162 Å, 90.00 111.97 120.00°
With the nearest neighbours (Å) after each atom.
Fractional positions:
Ce 0.0000 0.5000 0.5000  6 Tm 2.84
Tm 0.5580 0.7790 0.3370  9 Tm 3.58-3.65, 3 Th 3.62
Tm 0.4420 0.2210 0.6630  9 Tm 3.58-3.65, 3 Th 3.62
Tm 0.5069 0.2534 0.3142  1 Ce 2.84
Tm 0.9393 0.1927 0.6858  1 Ce 2.84
Tm 0.4931 0.7466 0.6858  1 Ce 2.84
Tm 0.9393 0.7466 0.6858  1 Ce 2.84
Tm 0.0607 0.2534 0.3142  1 Ce 2.84
Tm 0.0607 0.8073 0.3142  1 Ce 2.84
Th 0.0000 0.0000 0.0000  6 Tm 3.33, 6 Th 3.63
Th 0.0000 0.5000 0.0000  6 Tm 3.54-3.62, 6 Th 3.63
Th 0.5000 0.5000 0.0000  6 Tm 3.54-3.62, 6 Th 3.63
Th 0.5000 0.0000 0.0000  6 Tm 3.54-3.62, 6 Th 3.63

Electronic total energy: -5.29 eV/atom
Calculated formation energy: 0.204 eV/atom


No. 3
# Ce2TmTh

A relaxed structure of Ce2TmTh (PBE-GGA, the Alexandria database).

Cell: 3.4244 6.5930 10.9798 Å, 90.00 90.00 105.05°
With the nearest neighbours (Å) after each atom.
Fractional positions:
Ce 0.3862 0.7723 0.5070  1 Ce 2.90
Ce 0.6138 0.2277 0.4930  1 Ce 2.90
Ce 0.6138 0.2277 0.0070  1 Ce 2.90
Ce 0.3862 0.7723 0.9930  1 Ce 2.90
Tm 0.9867 0.9734 0.2500  3 Th 3.32-3.50, 2 Tm 3.42, 8 Ce 3.54-3.56
Tm 0.0133 0.0266 0.7500  3 Th 3.32-3.50, 2 Tm 3.42, 8 Ce 3.54-3.56
Th 0.2472 0.4944 0.2500  3 Tm 3.32-3.50, 6 Ce 3.33-3.60, 2 Th 3.42
Th 0.7528 0.5056 0.7500  3 Tm 3.32-3.50, 6 Ce 3.33-3.60, 2 Th 3.42

Electronic total energy: -5.81 eV/atom
Calculated formation energy: 0.125 eV/atom
Energy relative to the lowest polymorph listed for this composition: 65 meV per atom


No. 4
# CeTmTh2

A relaxed structure of CeTmTh2 (PBE-GGA, the Alexandria database).

Cell: 3.5277 3.5277 9.8361 Å, 90.00 90.00 90.00°
With the nearest neighbours (Å) after each atom.
Fractional positions:
Tm 0.5000 0.5000 0.5000  4 Tm 3.53, 8 Th 3.53
Ce 0.5000 0.5000 0.0000  8 Th 3.47, 4 Ce 3.53
Th 0.0000 0.0000 0.7545  4 Ce 3.47, 4 Th 3.53, 4 Tm 3.53
Th 0.0000 0.0000 0.2455  4 Ce 3.47, 4 Th 3.53, 4 Tm 3.53

Electronic total energy: -6.28 eV/atom
Calculated formation energy: 0.027 eV/atom
Energy relative to the lowest polymorph listed for this composition: 0 meV per atom


No. 5
# Ce3Tm2Th2

A relaxed structure of Ce3Tm2Th2 (PBE-GGA, the Alexandria database).

Cell: 4.9006 6.0285 9.2124 Å, 57.32 74.57 66.02°
With the nearest neighbours (Å) after each atom.
Fractional positions:
Ce 0.5000 0.0000 0.0000  6 Th 3.47-3.51, 4 Tm 3.48, 2 Ce 3.51
Ce 0.3540 0.8623 0.4298  4 Ce 3.42-3.55, 3 Th 3.46-3.47, 5 Tm 3.46-3.50
Ce 0.6460 0.1377 0.5702  4 Ce 3.42-3.55, 3 Th 3.46-3.47, 5 Tm 3.46-3.50
Tm 0.0715 0.5718 0.2852  7 Ce 3.46-3.50, 4 Th 3.47-3.50, 1 Tm 3.50
Tm 0.9285 0.4282 0.7148  7 Ce 3.46-3.50, 4 Th 3.47-3.50, 1 Tm 3.50
Th 0.2132 0.7185 0.8551  6 Ce 3.46-3.51, 4 Tm 3.47-3.50, 2 Th 3.51
Th 0.7868 0.2815 0.1449  6 Ce 3.46-3.51, 4 Tm 3.47-3.50, 2 Th 3.51

Electronic total energy: -5.87 eV/atom
Calculated formation energy: 0.069 eV/atom


No. 6
# Ce2TmTh7

A relaxed structure of Ce2TmTh7 (PBE-GGA, the Alexandria database).

Cell: 4.9733 8.6430 9.3495 Å, 108.07 105.44 54.85°
With the nearest neighbours (Å) after each atom.
Fractional positions:
Ce 0.6003 0.5991 0.3978  10 Th 3.50-3.55, 2 Ce 3.54-3.55
Ce 0.3997 0.4009 0.6022  10 Th 3.50-3.55, 2 Ce 3.54-3.55
Tm 0.0000 0.0000 0.0000  12 Th 3.53-3.54
Th 0.9019 0.8982 0.5999  7 Th 3.51-3.54, 4 Ce 3.52-3.55, 1 Tm 3.53
Th 0.0981 0.1018 0.4001  7 Th 3.51-3.54, 4 Ce 3.52-3.55, 1 Tm 3.53
Th 0.6994 0.6990 0.7970  3 Ce 3.50-3.53, 7 Th 3.51-3.57, 2 Tm 3.54
Th 0.3006 0.3010 0.2030  3 Ce 3.50-3.53, 7 Th 3.51-3.57, 2 Tm 3.54
Th 0.7991 0.8012 0.2010  2 Ce 3.52, 8 Th 3.52-3.57, 2 Tm 3.53
Th 0.2009 0.1988 0.7990  2 Ce 3.52, 8 Th 3.52-3.57, 2 Tm 3.53
Th 0.5000 0.5000 0.0000  2 Ce 3.51, 8 Th 3.53-3.54, 2 Tm 3.53

Electronic total energy: -6.80 eV/atom
Calculated formation energy: 0.026 eV/atom


No. 7
# Ce2TmTh

A relaxed structure of Ce2TmTh (PBE-GGA, the Alexandria database).

Cell: 3.4813 3.4813 9.7854 Å, 90.00 90.00 90.00°
With the nearest neighbours (Å) after each atom.
Fractional positions:
Tm 0.5000 0.5000 0.0000  4 Tm 3.48, 8 Ce 3.51
Ce 0.0000 0.0000 0.7450  4 Th 3.44, 4 Ce 3.48, 4 Tm 3.51
Ce 0.0000 0.0000 0.2550  4 Th 3.44, 4 Ce 3.48, 4 Tm 3.51
Th 0.5000 0.5000 0.5000  8 Ce 3.44, 4 Th 3.48

Electronic total energy: -5.88 eV/atom
Calculated formation energy: 0.060 eV/atom
Energy relative to the lowest polymorph listed for this composition: 0 meV per atom


No. 8
# CeTmTh3

A relaxed structure of CeTmTh3 (PBE-GGA, the Alexandria database).

Cell: 6.1887 7.8042 7.8042 Å, 120.00 90.00 90.00°
With the nearest neighbours (Å) after each atom.
Fractional positions:
Ce 0.0000 0.0000 0.0000  6 Th 3.01, 2 Ce 3.09
Ce 0.5000 0.0000 0.0000  6 Th 3.01, 2 Ce 3.09
Tm 0.2500 0.3335 0.6665  12 Th 3.64-3.92
Tm 0.7500 0.6665 0.3335  12 Th 3.64-3.92
Th 0.2500 0.8091 0.1909  2 Ce 3.01, 2 Th 3.34
Th 0.7500 0.1909 0.8091  2 Ce 3.01, 2 Th 3.34
Th 0.2500 0.8091 0.6184  2 Ce 3.01, 2 Th 3.34
Th 0.7500 0.1909 0.3816  2 Ce 3.01, 2 Th 3.34
Th 0.2500 0.3816 0.1909  2 Ce 3.01, 2 Th 3.34
Th 0.7500 0.6184 0.8091  2 Ce 3.01, 2 Th 3.34

Electronic total energy: -6.15 eV/atom
Calculated formation energy: 0.386 eV/atom
Energy relative to the lowest polymorph listed for this composition: 351 meV per atom


No. 9
# CeTm7Th3

A relaxed structure of CeTm7Th3 (PBE-GGA, the Alexandria database).

Cell: 8.4573 6.9763 6.9763 Å, 120.00 90.00 90.00°
With the nearest neighbours (Å) after each atom.
Fractional positions:
Ce 0.4561 0.3333 0.6667  3 Th 3.40, 9 Tm 3.49-3.50
Tm 0.1164 0.1682 0.8318  8 Tm 3.46-3.52, 2 Th 3.48, 1 Ce 3.50
Tm 0.1164 0.1682 0.3365  8 Tm 3.46-3.52, 2 Th 3.48, 1 Ce 3.50
Tm 0.1149 0.6667 0.3333  3 Th 3.47, 9 Tm 3.48-3.49
Tm 0.4511 0.8325 0.1675  2 Th 3.44, 7 Tm 3.47-3.50, 2 Ce 3.49
Tm 0.4511 0.3349 0.1675  2 Th 3.44, 7 Tm 3.47-3.50, 2 Ce 3.49
Tm 0.4511 0.8325 0.6651  2 Th 3.44, 7 Tm 3.47-3.50, 2 Ce 3.49
Tm 0.1164 0.6635 0.8318  8 Tm 3.46-3.52, 2 Th 3.48, 1 Ce 3.50
Th 0.7805 0.4997 0.5003  1 Ce 3.40, 5 Tm 3.44-3.48, 4 Th 3.48-3.49
Th 0.7805 0.4997 0.9994  1 Ce 3.40, 5 Tm 3.44-3.48, 4 Th 3.48-3.49
Th 0.7805 0.0006 0.5003  1 Ce 3.40, 5 Tm 3.44-3.48, 4 Th 3.48-3.49

Electronic total energy: -5.19 eV/atom
Calculated formation energy: 0.218 eV/atom


No. 10
# Ce6TmTh8

A relaxed structure of Ce6TmTh8 (PBE-GGA, the Alexandria database).

Cell: 6.4625 9.2986 9.2986 Å, 120.00 90.00 90.00°
With the nearest neighbours (Å) after each atom.
Fractional positions:
Ce 0.6306 0.6438 0.0653  1 Ce 2.87
Ce 0.6306 0.9347 0.5785  1 Ce 2.87
Ce 0.6306 0.4215 0.3562  1 Ce 2.87
Ce 0.3694 0.3562 0.9347  1 Ce 2.87
Ce 0.3694 0.0653 0.4215  1 Ce 2.87
Ce 0.3694 0.5785 0.6438  1 Ce 2.87
Tm 0.5000 0.0000 0.0000  6 Th 3.52, 6 Ce 3.75
Th 0.8560 0.0106 0.2921  3 Th 3.25-3.29, 4 Ce 3.31-3.48, 1 Tm 3.52
Th 0.8560 0.7079 0.7185  3 Th 3.25-3.29, 4 Ce 3.31-3.48, 1 Tm 3.52
Th 0.8560 0.2815 0.9894  3 Th 3.25-3.29, 4 Ce 3.31-3.48, 1 Tm 3.52
Th 0.1440 0.9894 0.7079  3 Th 3.25-3.29, 4 Ce 3.31-3.48, 1 Tm 3.52
Th 0.1440 0.2921 0.2815  3 Th 3.25-3.29, 4 Ce 3.31-3.48, 1 Tm 3.52
Th 0.1440 0.7185 0.0106  3 Th 3.25-3.29, 4 Ce 3.31-3.48, 1 Tm 3.52
Th 0.9088 0.3333 0.6667  3 Th 3.29
Th 0.0912 0.6667 0.3333  3 Th 3.29

Electronic total energy: -6.35 eV/atom
Calculated formation energy: 0.274 eV/atom


No. 11
# CeTmTh3

A relaxed structure of CeTmTh3 (PBE-GGA, the Alexandria database).

Cell: 6.0982 6.0909 9.3313 Å, 83.74 109.00 109.44°
With the nearest neighbours (Å) after each atom.
Fractional positions:
Ce 0.2518 0.7496 0.5047  9 Th 3.49-3.54, 1 Tm 3.49, 2 Ce 3.51-3.53
Ce 0.7482 0.2504 0.4953  9 Th 3.49-3.54, 1 Tm 3.49, 2 Ce 3.51-3.53
Tm 0.4498 0.7500 0.8998  1 Ce 3.49, 9 Th 3.52-3.55, 2 Tm 3.52
Tm 0.5502 0.2500 0.1002  1 Ce 3.49, 9 Th 3.52-3.55, 2 Tm 3.52
Th 0.0518 0.7501 0.1037  7 Th 3.50-3.56, 4 Tm 3.52-3.54, 1 Ce 3.54
Th 0.9482 0.2499 0.8963  7 Th 3.50-3.56, 4 Tm 3.52-3.54, 1 Ce 3.54
Th 0.6510 0.7496 0.3025  4 Ce 3.49-3.53, 5 Th 3.51-3.52, 3 Tm 3.53-3.55
Th 0.3490 0.2504 0.6975  4 Ce 3.49-3.53, 5 Th 3.51-3.52, 3 Tm 3.53-3.55
Th 0.8501 0.7506 0.7000  4 Ce 3.50-3.54, 6 Th 3.50-3.56, 2 Tm 3.52
Th 0.1499 0.2494 0.3000  4 Ce 3.50-3.54, 6 Th 3.50-3.56, 2 Tm 3.52

Electronic total energy: -6.50 eV/atom
Calculated formation energy: 0.035 eV/atom
Energy relative to the lowest polymorph listed for this composition: 0 meV per atom


No. 12
# Ce2TmTh

A relaxed structure of Ce2TmTh (PBE-GGA, the Alexandria database).

Cell: 5.5720 5.5720 5.5720 Å, 60.00 60.00 60.00°
With the nearest neighbours (Å) after each atom.
Fractional positions:
Tm 0.0000 0.0000 0.0000  8 Ce 3.41
Ce 0.2500 0.2500 0.2500  4 Th 3.41, 4 Tm 3.41
Ce 0.7500 0.7500 0.7500  4 Th 3.41, 4 Tm 3.41
Th 0.5000 0.5000 0.5000  8 Ce 3.41

Electronic total energy: -5.67 eV/atom
Calculated formation energy: 0.271 eV/atom
Energy relative to the lowest polymorph listed for this composition: 211 meV per atom


Listing total magnetic moment for the structures above in their given order: 0.00, 0.85, 0.73, 0.00, 1.45, 0.00, 0.00, 0.00, 0.60, 4.19, 0.00, 2.38 μB per formula unit.